1.
Here is a relaxed MnCrCl2 crystal from the Alexandria database. Energies are from PBE-GGA.

Properties
Uncorrected formation energy in eV/atom: -0.123

Unit cell a=3.115 b=3.115 c=7.949 alpha=90.00 beta=90.00 gamma=90.00
Site moments in Bohr magnetons follow the coordinates.
Positions (direct):
Cr 0.000 0.000 0.504  2.79
Mn 0.500 0.500 0.738  3.79
Cl 0.000 0.000 0.912  0.09
Cl 0.500 0.500 0.346  -0.03

2.
Here is a relaxed Mn2NiRu crystal from the Alexandria database. Energies are from PBE-GGA.

Properties
E_tot in eV/cell: -33.3

Unit cell a=2.646 b=4.468 c=5.167 alpha=54.45 beta=90.00 gamma=90.00
Site moments in Bohr magnetons follow the coordinates.
Positions (direct):
Mn 0.000 0.000 0.000  2.86
Mn 0.500 0.500 0.000  -2.44
Ni 0.500 0.500 0.500  0.16
Ru 0.000 0.000 0.500  0.15

3.
Here is a relaxed Cs3Y2Br9 crystal from the Alexandria database. Energies are from PBE-GGA.

Properties
Uncorrected formation energy in eV/atom: -1.895

Unit cell a=10.459 b=10.459 c=10.459 alpha=83.37 beta=83.37 gamma=83.37
Positions (direct):
Cs 0.089 0.750 0.411
Cs 0.750 0.411 0.089
Cs 0.250 0.589 0.911
Cs 0.411 0.089 0.750
Cs 0.911 0.250 0.589
Cs 0.589 0.911 0.250
Y 0.348 0.348 0.348
Y 0.652 0.652 0.652
Y 0.848 0.848 0.848
Y 0.152 0.152 0.152
Br 0.267 0.919 0.084
Br 0.733 0.081 0.916
Br 0.905 0.595 0.750
Br 0.081 0.916 0.733
Br 0.595 0.750 0.905
Br 0.416 0.581 0.233
Br 0.250 0.095 0.405
Br 0.919 0.084 0.267
Br 0.584 0.419 0.767
Br 0.084 0.267 0.919
Br 0.916 0.733 0.081
Br 0.419 0.767 0.584
Br 0.233 0.416 0.581
Br 0.750 0.905 0.595
Br 0.095 0.405 0.250
Br 0.767 0.584 0.419
Br 0.405 0.250 0.095
Br 0.581 0.233 0.416

4.
Here is a relaxed Ta4GaH2 crystal from the Alexandria database. Energies are from PBE-GGA.

Properties
E_tot in eV/cell: -115.9

Unit cell a=3.438 b=5.584 c=10.190 alpha=90.00 beta=90.00 gamma=107.93
Positions (direct):
Ta 0.796 0.592 0.099
Ta 0.796 0.592 0.401
Ta 0.204 0.408 0.901
Ta 0.204 0.408 0.599
Ta 0.878 0.756 0.750
Ta 0.122 0.244 0.250
Ta 0.500 0.000 0.000
Ta 0.500 0.000 0.500
Ga 0.580 0.161 0.750
Ga 0.420 0.839 0.250
H 0.087 0.174 0.448
H 0.913 0.826 0.948
H 0.087 0.174 0.052
H 0.913 0.826 0.552

5.
Here is a relaxed CsKCdTe2 crystal from the Alexandria database. Energies are from PBE-GGA.

Properties
Uncorrected formation energy in eV/atom: -0.659

Unit cell a=7.565 b=6.285 c=8.955 alpha=90.00 beta=90.00 gamma=90.00
Positions (direct):
Cs 0.213 0.250 0.500
Cs 0.787 0.750 0.500
K 0.587 0.750 0.000
K 0.413 0.250 0.000
Cd 0.000 0.000 0.000
Cd 0.000 0.500 0.000
Te 0.794 0.250 0.774
Te 0.794 0.250 0.226
Te 0.206 0.750 0.774
Te 0.206 0.750 0.226

6.
Here is a relaxed RbSr2Co crystal from the Alexandria database. Energies are from PBE-GGA.

Properties
E_tot in eV/cell: -8.5

Unit cell a=5.847 b=5.847 c=5.847 alpha=60.00 beta=60.00 gamma=60.00
Positions (direct):
Sr 0.250 0.250 0.250
Sr 0.750 0.750 0.750
Co 0.000 0.000 0.000
Rb 0.500 0.500 0.500

7.
Here is a relaxed ThScOsPt crystal from the Alexandria database. Energies are from PBE-GGA.

Properties
E_tot in eV/cell: -33.6

Unit cell a=4.883 b=4.883 c=4.883 alpha=60.00 beta=60.00 gamma=60.00
Positions (direct):
Sc 0.500 0.500 0.500
Os 0.250 0.250 0.250
Pt 0.750 0.750 0.750
Th 0.000 0.000 0.000

8.
Here is a relaxed K3SbTe4 crystal from the Alexandria database. Energies are from PBE-GGA.

Properties
Uncorrected formation energy in eV/atom: -0.662

Unit cell a=10.249 b=11.356 c=12.040 alpha=90.00 beta=90.00 gamma=90.00
Positions (direct):
Sb 0.287 0.016 0.750
Sb 0.787 0.484 0.750
Sb 0.713 0.984 0.250
Sb 0.213 0.516 0.250
K 0.358 0.569 0.750
K 0.858 0.931 0.750
K 0.642 0.431 0.250
K 0.142 0.069 0.250
K 0.400 0.793 0.041
K 0.900 0.707 0.459
K 0.600 0.207 0.541
K 0.100 0.293 0.959
K 0.600 0.207 0.959
K 0.100 0.293 0.541
K 0.400 0.793 0.459
K 0.900 0.707 0.041
Te 0.135 0.975 0.560
Te 0.635 0.525 0.940
Te 0.865 0.025 0.060
Te 0.365 0.475 0.440
Te 0.865 0.025 0.440
Te 0.365 0.475 0.060
Te 0.135 0.975 0.940
Te 0.635 0.525 0.560
Te 0.365 0.248 0.750
Te 0.865 0.252 0.750
Te 0.635 0.752 0.250
Te 0.135 0.748 0.250
Te 0.499 0.865 0.750
Te 0.999 0.635 0.750
Te 0.501 0.135 0.250
Te 0.001 0.365 0.250

9.
Here is a relaxed Tb2PuBi crystal from the Alexandria database. Energies are from PBE-GGA.

Properties
E_tot in eV/cell: -27.9

Unit cell a=3.559 b=3.559 c=11.161 alpha=80.83 beta=80.83 gamma=60.00
Site moments in Bohr magnetons follow the coordinates.
Positions (direct):
Tb 0.251 0.251 0.247  0.04
Tb 0.749 0.749 0.753  0.04
Bi 0.000 0.000 0.000  0.02
Pu 0.500 0.500 0.500  5.51

10.
Here is a relaxed SrReSe2 crystal from the Alexandria database. Energies are from PBE-GGA.

Properties
Uncorrected formation energy in eV/atom: -0.044

Unit cell a=3.438 b=3.438 c=7.179 alpha=90.00 beta=90.00 gamma=102.56
Positions (direct):
Re 0.500 0.500 0.750
Se 0.000 0.000 0.959
Se 0.000 0.000 0.541
Sr 0.500 0.500 0.250

11.
Here is a relaxed Ac3MgN2 crystal from the Alexandria database. Energies are from PBE-GGA.

Properties
Uncorrected formation energy in eV/atom: -0.562

Unit cell a=3.808 b=8.292 c=10.701 alpha=93.94 beta=79.75 gamma=76.73
Positions (direct):
Ac 0.074 0.056 0.797
Ac 0.926 0.944 0.203
Ac 0.705 0.658 0.931
Ac 0.295 0.342 0.069
Ac 0.839 0.795 0.526
Ac 0.161 0.205 0.474
Mg 0.442 0.379 0.737
Mg 0.558 0.621 0.263
N 0.895 0.360 0.850
N 0.105 0.640 0.150
N 0.627 0.125 0.621
N 0.373 0.875 0.379

12.
Here is a relaxed LiPdI crystal from the Alexandria database. Energies are from PBE-GGA.

Properties
Uncorrected formation energy in eV/atom: -0.435

Unit cell a=15.449 b=7.429 c=7.429 alpha=148.51 beta=157.39 gamma=22.61
Positions (direct):
I 0.266 0.864 0.136
I 0.939 0.484 0.516
Pd 0.582 0.698 0.302
Pd 0.452 0.475 0.525
Li 0.103 0.686 0.314
Li 0.719 0.911 0.089

13.
Here is a relaxed NaGe2BiSe6 crystal from the Alexandria database. Energies are from PBE-GGA.

Properties
Uncorrected formation energy in eV/atom: -0.401

Unit cell a=7.176 b=9.203 c=9.203 alpha=84.28 beta=76.96 gamma=76.96
Positions (direct):
Na 0.250 0.324 0.676
Na 0.750 0.676 0.324
Ge 0.247 0.795 0.621
Ge 0.253 0.379 0.205
Ge 0.753 0.205 0.379
Ge 0.747 0.621 0.795
Bi 0.250 0.882 0.118
Bi 0.750 0.118 0.882
Se 0.172 0.979 0.802
Se 0.328 0.198 0.021
Se 0.828 0.021 0.198
Se 0.672 0.802 0.979
Se 0.378 0.907 0.388
Se 0.122 0.612 0.093
Se 0.622 0.093 0.612
Se 0.878 0.388 0.907
Se 0.000 0.672 0.579
Se 0.500 0.421 0.328
Se 0.000 0.328 0.421
Se 0.500 0.579 0.672

14.
Here is a relaxed Ce2PrAl2Ge2 crystal from the Alexandria database. Energies are from PBE-GGA.

Properties
E_tot in eV/cell: -36.2

Unit cell a=4.385 b=4.385 c=9.807 alpha=77.08 beta=77.08 gamma=60.00
Site moments in Bohr magnetons follow the coordinates.
Positions (direct):
Ce 0.140 0.140 0.581  0.80
Ce 0.860 0.860 0.419  0.80
Pr 0.000 0.000 0.000  0.00
Al 0.590 0.590 0.229  0.00
Al 0.410 0.410 0.771  0.00
Ge 0.737 0.737 0.789  0.00
Ge 0.263 0.263 0.211  0.00

15.
Here is a relaxed BaMg4Cu crystal from the Alexandria database. Energies are from PBE-GGA.

Properties
E_tot in eV/cell: -11.2

Unit cell a=6.094 b=6.094 c=6.094 alpha=60.00 beta=60.00 gamma=60.00
Positions (direct):
Ba 0.750 0.750 0.750
Mg 0.880 0.373 0.373
Mg 0.373 0.373 0.880
Mg 0.373 0.880 0.373
Mg 0.373 0.373 0.373
Cu 0.000 0.000 0.000

16.
Here is a relaxed MgIn2Ag crystal from the Alexandria database. Energies are from PBE-GGA.

Properties
E_tot in eV/cell: -10.0

Unit cell a=3.550 b=3.550 c=7.182 alpha=90.00 beta=90.00 gamma=90.00
Positions (direct):
Mg 0.500 0.500 0.500
Ag 0.500 0.500 0.000
In 0.000 0.000 0.762
In 0.000 0.000 0.238

17.
Here is a relaxed Ca2MgPt crystal from the Alexandria database. Energies are from PBE-GGA.

Properties
E_tot in eV/cell: -13.5

Unit cell a=3.579 b=3.579 c=8.256 alpha=90.00 beta=90.00 gamma=90.00
Positions (direct):
Ca 0.000 0.000 0.926
Ca 0.500 0.500 0.301
Mg 0.000 0.000 0.568
Pt 0.500 0.500 0.705

18.
Here is a relaxed Cs3CaH crystal from the Alexandria database. Energies are from PBE-GGA.

Properties
E_tot in eV/cell: -7.3

Unit cell a=6.651 b=6.651 c=6.651 alpha=90.00 beta=90.00 gamma=90.00
Site moments in Bohr magnetons follow the coordinates.
Positions (direct):
Cs 0.000 0.500 0.000  0.02
Cs 0.000 0.000 0.500  0.03
Cs 0.500 0.000 0.000  0.02
H 0.000 0.000 0.000  0.00
Ca 0.500 0.500 0.500  0.07

19.
Here is a relaxed Rb2Y4Pt crystal from the Alexandria database. Energies are from PBE-GGA.

Properties
E_tot in eV/cell: -32.9

Unit cell a=5.643 b=5.643 c=11.111 alpha=75.29 beta=75.29 gamma=90.00
Positions (direct):
Y 0.874 0.874 0.252
Y 0.126 0.126 0.748
Y 0.000 0.500 0.000
Y 0.500 0.000 0.000
Rb 0.670 0.670 0.660
Rb 0.330 0.330 0.340
Pt 0.000 0.000 0.000

20.
Here is a relaxed LaSc2PCl crystal from the Alexandria database. Energies are from PBE-GGA.

Properties
Uncorrected formation energy in eV/atom: 0.676

Unit cell a=5.728 b=5.237 c=5.728 alpha=90.00 beta=90.00 gamma=90.00
Positions (direct):
Sc 0.000 0.000 0.500
Sc 0.500 0.000 0.000
P 0.000 0.500 0.000
Cl 0.500 0.500 0.500
La 0.000 0.000 0.000

21.
Here is a relaxed AlTc3Cl crystal from the Alexandria database. Energies are from PBE-GGA.

Properties
Uncorrected formation energy in eV/atom: 0.936

Unit cell a=4.336 b=4.336 c=4.336 alpha=90.00 beta=90.00 gamma=90.00
Site moments in Bohr magnetons follow the coordinates.
Positions (direct):
Al 0.500 0.500 0.500  -0.02
Tc 0.000 0.500 0.000  0.30
Tc 0.000 0.000 0.500  0.25
Tc 0.500 0.000 0.000  0.36
Cl 0.000 0.000 0.000  0.00

22.
Here is a relaxed CrRh3 crystal from the Alexandria database. Energies are from PBE-GGA.

Properties
E_tot in eV/cell: -26.0

Unit cell a=4.455 b=4.455 c=4.455 alpha=90.00 beta=90.00 gamma=90.00
Positions (direct):
Cr 0.000 0.000 0.000
Rh 0.000 0.000 0.500
Rh 0.000 0.500 0.000
Rh 0.500 0.000 0.000

23.
Here is a relaxed TeRh2Se crystal from the Alexandria database. Energies are from PBE-GGA.

Properties
Uncorrected formation energy in eV/atom: 0.445

Unit cell a=4.663 b=4.663 c=4.663 alpha=60.00 beta=60.00 gamma=60.00
Positions (direct):
Rh 0.000 0.000 0.000
Rh 0.250 0.250 0.250
Se 0.500 0.500 0.500
Te 0.750 0.750 0.750

24.
Here is a relaxed AlAuS2 crystal from the Alexandria database. Energies are from PBE-GGA.

Properties
Uncorrected formation energy in eV/atom: -0.667

Unit cell a=3.580 b=7.008 c=6.179 alpha=97.25 beta=90.00 gamma=90.01
Positions (direct):
S 0.965 0.086 0.099
S 0.965 0.458 0.493
S 0.471 0.086 0.599
S 0.471 0.458 0.993
Au 0.718 0.772 0.046
Au 0.718 0.772 0.546
Al 0.949 0.272 0.796
Al 0.487 0.272 0.296

no.,spin magnetization (μB per formula unit)
1,7.0
2,0.7
3,0.0
4,0.0
5,0.0
6,0.0
7,0.0
8,0.0
9,6.0
10,0.0
11,0.0
12,0.0
13,0.0
14,1.9
15,0.0
16,0.0
17,0.0
18,1.2
19,0.0
20,0.0
21,0.9
22,0.0
23,0.0
24,0.0